(1)
4
Lattice="3.201 0.000 0.000 0.000 3.201 0.000 0.000 0.000 8.701" Properties=species:S:1:pos:R:3 comment="PBE HfMg2In, optimized geometry" delta_e_f_ev_per_atom=0.0093 mass_density_g_cm3=6.37 pbc="T T T"
Mg 0.000 0.000 6.509
Mg 0.000 0.000 2.193
Hf 1.600 1.600 4.351
In 1.600 1.600 0.000



(2)
16
Lattice="-0.879 1.404 -4.108 0.374 -4.151 -1.499 -17.295 -2.578 2.821" Properties=species:S:1:pos:R:3 comment="PBE Hf12MgIn3, optimized geometry" delta_e_f_ev_per_atom=-0.0870 mass_density_g_cm3=12.00 pbc="T T T"
Hf -0.253 -1.374 -2.804
Hf -4.588 -2.020 -2.096
Hf -8.900 -2.663 -1.393
Hf -13.212 -3.305 -0.690
Hf -2.597 0.380 -1.702
Hf -6.926 -0.265 -0.996
Hf -11.249 -0.909 -0.291
Hf -15.577 -1.554 0.415
Hf -1.970 -2.397 -0.398
Hf -6.299 -3.042 0.308
Hf -10.622 -3.687 1.014
Hf -14.951 -4.332 1.720
Mg 0.000 0.000 0.000
In -4.313 -0.643 0.703
In -8.647 -1.289 1.410
In -12.982 -1.935 2.117



(3)
10
Lattice="8.287 0.000 0.000 0.000 8.287 0.000 0.000 0.000 3.223" Properties=species:S:1:pos:R:3 comment="PBE HfMg2In2, optimized geometry" delta_e_f_ev_per_atom=0.0868 de_polymorph_mev_per_atom=27 mass_density_g_cm3=6.85 pbc="T T T"
Mg 3.114 7.257 0.000
Mg 7.257 5.173 0.000
Mg 5.173 1.030 0.000
Mg 1.030 3.114 0.000
Hf 0.000 0.000 0.000
Hf 4.143 4.143 0.000
In 1.455 5.599 1.612
In 5.599 6.831 1.612
In 6.831 2.688 1.612
In 2.688 1.455 1.612



(4)
20
Lattice="-1.548 -7.877 -2.241 5.920 -0.120 5.866 -6.938 3.102 3.424" Properties=species:S:1:pos:R:3 comment="PBE Hf3MgIn6, optimized geometry" delta_e_f_ev_per_atom=0.0995 mass_density_g_cm3=8.83 pbc="T T T"
Hf -0.292 -0.714 5.855
Hf 0.248 -5.062 3.031
Hf 1.756 -2.340 3.940
Hf -4.322 -2.556 3.109
Hf -2.814 0.166 4.017
Hf -2.273 -4.182 1.193
Mg 0.000 0.000 0.000
Mg -1.283 -2.448 3.524
In 4.646 -2.643 4.583
In 0.987 1.135 7.804
In 0.452 -3.785 6.082
In 1.724 -7.471 2.094
In -3.415 -1.805 6.050
In 0.251 0.543 3.304
In -2.816 -5.438 3.744
In 0.850 -3.091 0.998
In -4.290 2.575 4.954
In -3.018 -1.111 0.966
In -3.553 -6.031 -0.756
In -7.212 -2.253 2.466



(5)
4
Lattice="-0.748 -0.569 3.035 -1.571 -2.649 0.779 8.245 -6.040 2.563" Properties=species:S:1:pos:R:3 comment="PBE HfMg2In, optimized geometry" delta_e_f_ev_per_atom=0.0326 mass_density_g_cm3=6.26 pbc="T T T"
Hf 2.949 -4.621 3.187
Mg 6.007 -4.808 2.242
Mg 1.474 -2.310 1.593
In -1.541 -2.148 2.543



(6)
5
Lattice="5.007 0.000 0.000 0.000 5.007 0.000 0.000 0.000 5.007" Properties=species:S:1:pos:R:3 comment="PBE Hf3MgIn, optimized geometry" delta_e_f_ev_per_atom=1.0234 de_polymorph_mev_per_atom=0 mass_density_g_cm3=8.92 pbc="T T T"
Mg 0.000 0.000 0.000
Hf 0.000 2.504 0.000
Hf 0.000 0.000 2.504
Hf 2.504 0.000 0.000
In 2.504 2.504 2.504



(7)
5
Lattice="-2.511 -4.472 -1.019 4.187 -2.618 1.175 -1.560 -0.259 4.984" Properties=species:S:1:pos:R:3 comment="PBE HfMgNbIn2, optimized geometry" delta_e_f_ev_per_atom=1.1025 mass_density_g_cm3=6.29 pbc="T T T"
Nb 0.000 0.000 0.000
Hf 0.057 -3.675 2.570
Mg 2.093 -1.309 0.587
In -0.780 -0.129 2.492
In -1.256 -2.236 -0.509



(8)
5
Lattice="4.663 0.000 0.000 0.000 5.483 0.000 0.000 0.000 4.663" Properties=species:S:1:pos:R:3 comment="PBE HfMgInNi2, optimized geometry" delta_e_f_ev_per_atom=0.8497 mass_density_g_cm3=6.06 pbc="T T T"
Ni 0.000 0.000 2.332
Ni 2.332 0.000 0.000
Mg 2.332 2.742 2.332
Hf 0.000 0.000 0.000
In 0.000 2.742 0.000



(9)
5
Lattice="-1.598 -3.424 3.223 -1.218 -3.430 -4.249 4.576 -1.915 0.235" Properties=species:S:1:pos:R:3 comment="PBE HfMgInP2, optimized geometry" delta_e_f_ev_per_atom=0.2545 mass_density_g_cm3=4.57 pbc="T T T"
P 2.288 -0.958 0.117
P -0.799 -1.712 1.611
Mg 0.880 -4.385 -0.396
Hf 0.000 0.000 0.000
In -0.609 -1.715 -2.124



(10)
5
Lattice="-2.187 5.865 0.361 -3.066 -0.702 -7.175 -5.339 -2.145 2.492" Properties=species:S:1:pos:R:3 comment="PBE RbHf2MgIn, optimized geometry" delta_e_f_ev_per_atom=1.9778 mass_density_g_cm3=3.14 pbc="T T T"
Mg 0.000 0.000 0.000
Hf -2.669 -1.072 1.246
Hf -1.094 2.932 0.181
Rb -1.533 -0.351 -3.587
In -5.296 1.509 -2.161



(11)
4
Lattice="3.209 0.000 0.000 0.000 3.209 0.000 0.000 0.000 7.482" Properties=species:S:1:pos:R:3 comment="PBE HfMgInRh, optimized geometry" delta_e_f_ev_per_atom=-0.4858 mass_density_g_cm3=9.06 pbc="T T T"
Hf 1.605 1.605 2.706
Mg 1.605 1.605 5.876
In 0.000 0.000 0.528
Rh 0.000 0.000 4.242



(12)
5
Lattice="-0.020 4.864 -1.754 -4.367 -0.673 -1.816 -2.096 1.596 4.449" Properties=species:S:1:pos:R:3 comment="PBE HfMgIn2Si, optimized geometry" mass_density_g_cm3=5.99 raw_formation_energy_mev_per_atom=920 pbc="T T T"
Si -2.184 -0.336 -0.908
Hf -3.242 2.893 0.439
Mg 0.000 0.000 0.000
In -1.048 0.798 2.224
In -0.010 2.432 -0.877



(13)
4
Lattice="5.164 0.000 0.000 2.582 4.472 0.000 2.582 1.491 4.216" Properties=species:S:1:pos:R:3 comment="PBE SmHfMgIn, optimized geometry" delta_e_f_ev_per_atom=-0.0820 mass_density_g_cm3=7.98 pbc="T T T"
Mg 0.000 0.000 0.000
Hf 7.746 4.472 3.162
Sm 2.582 1.491 1.054
In 5.164 2.981 2.108



(14)
4
Lattice="-4.418 1.740 -1.923 -0.731 0.085 -5.070 -3.310 -3.256 -2.166" Properties=species:S:1:pos:R:3 comment="PBE TbHfMgIn, optimized geometry" delta_e_f_ev_per_atom=-0.0893 mass_density_g_cm3=8.32 pbc="T T T"
Tb -6.344 -1.073 -6.869
Mg 0.000 0.000 0.000
Hf -2.115 -0.358 -2.290
In -4.230 -0.715 -4.579



(15)
4
Lattice="5.120 0.000 0.000 2.560 4.434 0.000 2.560 1.478 4.180" Properties=species:S:1:pos:R:3 comment="PBE YHfMgIn, optimized geometry" delta_e_f_ev_per_atom=-0.1002 mass_density_g_cm3=7.11 pbc="T T T"
Y 7.679 4.434 3.135
Mg 0.000 0.000 0.000
Hf 2.560 1.478 1.045
In 5.120 2.956 2.090



(16)
5
Lattice="5.069 0.000 0.000 0.000 4.794 0.000 0.000 0.000 5.069" Properties=species:S:1:pos:R:3 comment="PBE HfMgZnIn2, optimized geometry" delta_e_f_ev_per_atom=0.5840 mass_density_g_cm3=6.71 pbc="T T T"
Zn 0.000 0.000 0.000
Hf 2.534 2.397 2.534
Mg 0.000 2.397 0.000
In 0.000 0.000 2.534
In 2.534 0.000 0.000



(17)
4
Lattice="0.000 3.348 3.348 3.348 0.000 3.348 3.348 3.348 0.000" Properties=species:S:1:pos:R:3 comment="PBE Hf2MnIn, optimized geometry" delta_e_f_ev_per_atom=0.0399 de_polymorph_mev_per_atom=222 mass_density_g_cm3=11.65 pbc="T T T"
Mn 0.000 0.000 0.000
Hf 1.674 1.674 1.674
Hf 5.022 5.022 5.022
In 3.348 3.348 3.348



(18)
5
Lattice="5.156 0.000 0.000 0.000 5.156 0.000 0.000 0.000 5.156" Properties=species:S:1:pos:R:3 comment="PBE Hf3MnIn, optimized geometry" delta_e_f_ev_per_atom=1.9114 de_polymorph_mev_per_atom=2014 mass_density_g_cm3=8.54 pbc="T T T"
Mn 2.578 2.578 2.578
Hf 0.000 2.578 0.000
Hf 0.000 0.000 2.578
Hf 2.578 0.000 0.000
In 0.000 0.000 0.000



(19)
20
Lattice="5.440 0.000 0.013 0.000 8.401 0.000 -0.055 0.000 9.630" Properties=species:S:1:pos:R:3 comment="PBE Hf6MnIn3, optimized geometry" delta_e_f_ev_per_atom=0.0468 mass_density_g_cm3=11.10 pbc="T T T"
Hf 3.199 1.344 9.298
Hf 3.069 1.701 5.365
Hf 3.539 3.457 2.676
Hf 1.846 4.943 6.967
Hf 2.316 6.699 4.277
Hf 2.186 7.056 0.345
Hf 0.507 2.856 4.476
Hf 0.377 2.499 0.544
Hf 0.792 0.743 7.484
Hf 4.593 7.658 2.158
Hf 5.009 5.902 9.099
Hf 4.879 5.545 5.167
Mn 2.693 4.200 4.821
Mn 0.000 0.000 0.000
In 3.437 7.595 7.154
In 2.720 4.200 0.006
In 1.949 0.805 2.489
In 0.744 5.006 2.333
In -0.027 0.000 4.815
In 4.642 3.395 7.310



(20)
6
Lattice="-0.280 -2.685 -1.759 2.927 0.511 -1.246 4.226 -5.472 7.680" Properties=species:S:1:pos:R:3 comment="PBE Hf3Mn2In, optimized geometry" delta_e_f_ev_per_atom=-0.1696 mass_density_g_cm3=11.77 pbc="T T T"
Hf 0.000 0.000 0.000
Hf 2.979 -3.857 5.413
Hf 1.247 -1.615 2.266
Mn 4.878 -5.689 4.956
Mn 1.995 -1.956 -0.282
In 3.436 -3.823 2.337



(21)
8
Lattice="3.130 0.000 0.000 0.000 3.130 0.000 0.000 0.000 16.639" Properties=species:S:1:pos:R:3 comment="PBE Hf4MnIn3, optimized geometry" delta_e_f_ev_per_atom=-0.1602 mass_density_g_cm3=11.34 pbc="T T T"
Mn 1.565 1.565 0.000
Hf 0.000 0.000 15.100
Hf 0.000 0.000 1.539
Hf 0.000 0.000 6.096
Hf 0.000 0.000 10.543
In 1.565 1.565 3.896
In 1.565 1.565 8.319
In 1.565 1.565 12.743



(22)
8
Lattice="6.152 0.000 0.000 0.000 6.152 0.000 3.076 3.076 5.895" Properties=species:S:1:pos:R:3 comment="PBE Hf2MnIn, optimized geometry" delta_e_f_ev_per_atom=1.2463 de_polymorph_mev_per_atom=1428 mass_density_g_cm3=7.84 pbc="T T T"
Mn 3.076 3.076 0.000
Mn 3.076 6.152 2.948
Hf 3.844 1.538 1.474
Hf 2.308 4.614 1.474
Hf 4.614 5.384 4.421
Hf 7.690 6.920 4.421
In 0.000 0.000 0.000
In 6.152 3.076 2.948



(23)
4
Lattice="-3.507 -1.982 -1.587 0.640 -3.278 2.680 -2.429 1.936 2.948" Properties=species:S:1:pos:R:3 comment="PBE HfMnIn2, optimized geometry" delta_e_f_ev_per_atom=0.0067 mass_density_g_cm3=9.68 pbc="T T T"
Mn -2.648 -1.662 2.021
Hf -1.753 -0.991 -0.793
In -1.214 0.968 1.474
In 0.320 -1.639 1.340



(24)
10
Lattice="-1.277 -2.803 1.247 4.869 -4.528 -5.195 4.364 0.639 5.905" Properties=species:S:1:pos:R:3 comment="PBE Hf3MnIn, optimized geometry" delta_e_f_ev_per_atom=-0.1022 de_polymorph_mev_per_atom=0 mass_density_g_cm3=11.56 pbc="T T T"
Hf 2.282 -4.284 -0.653
Hf 0.917 -1.306 0.216
Hf 4.910 -6.051 -1.934
Hf 5.675 -2.408 2.611
Hf 3.047 -0.641 3.891
Hf 7.039 -5.386 1.742
Mn 3.756 -3.959 -2.841
Mn 4.201 -2.733 4.798
In 2.576 -3.150 2.197
In 5.381 -3.542 -0.240



(25)
18
Lattice="6.785 0.000 2.463 0.000 6.827 0.000 0.846 0.000 8.245" Properties=species:S:1:pos:R:3 comment="PBE Hf5Mn2In2, optimized geometry" delta_e_f_ev_per_atom=-0.0676 mass_density_g_cm3=11.13 pbc="T T T"
Hf 0.000 0.000 0.000
Hf 3.392 3.414 1.231
Hf 3.473 1.318 7.405
Hf 6.156 5.509 8.379
Hf 2.763 4.732 7.147
Hf 6.865 2.095 8.636
Hf 4.159 5.509 3.304
Hf 1.475 1.318 2.330
Hf 4.868 2.095 3.561
Hf 0.766 4.732 2.072
Mn 0.734 2.683 0.266
Mn 6.051 4.145 2.196
Mn 2.658 6.096 0.965
Mn 4.126 0.731 1.498
In 2.026 0.000 4.996
In 5.418 3.414 6.228
In 5.605 0.000 5.712
In 2.213 3.414 4.481